Record 1
A plane-wave DFT calculation with PBE was carried out for a relaxed structure of HgOs2Pt.

Cell: 4.9067 2.8093 4.8081 Å, 92.45 90.00 90.00°
Fractional coordinates of all 4 atoms:
Hg 0.5000 0.7500 0.7500
Pt 0.5000 0.2500 0.2500
Os 0.0000 0.9673 0.0220
Os 0.0000 0.5327 0.4780

Values from the calculation:
Its energy of formation from the pure elements is 0.73 eV/atom. The space group is P2/m, No. 10.



Record 2
A plane-wave DFT calculation with PBE was carried out for a relaxed structure of Cu6GeAu2.

Cell: 5.2327 5.3276 5.3276 Å, 59.97 89.88 89.88°
Fractional coordinates of all 9 atoms:
Au 0.8184 0.6664 0.6664
Cu 0.6769 0.6411 0.1794
Cu 0.6757 0.1796 0.1796
Cu 0.3231 0.8206 0.3589
Cu 0.3243 0.8204 0.8204
Cu 0.6769 0.1794 0.6411
Cu 0.3231 0.3589 0.8206
Au 0.1816 0.3336 0.3336
Ge 0.0000 0.0000 0.0000

Values from the calculation:
Its energy of formation from the pure elements is 0.09 eV/atom. The calculation puts the polymorph energy (0 for the lowest one) at 0.053 eV/atom. The space group is C2/m, No. 12.



Record 3
A plane-wave DFT calculation with PBE was carried out for a relaxed structure of Sr2In2Au.

Cell: 7.7289 7.7289 5.1625 Å, 90.00 90.00 90.00°
Fractional coordinates of all 10 atoms:
In 0.1360 0.3640 0.0000
In 0.3640 0.8640 0.0000
Sr 0.3284 0.1716 0.5000
Au 0.5000 0.5000 0.0000
In 0.8640 0.6360 0.0000
Sr 0.6716 0.8284 0.5000
In 0.6360 0.1360 0.0000
Sr 0.8284 0.3284 0.5000
Au 0.0000 0.0000 0.0000
Sr 0.1716 0.6716 0.5000

Values from the calculation:
Its energy of formation from the pure elements is -0.39 eV/atom. The calculation puts the polymorph energy (0 for the lowest one) at 0.137 eV/atom. The space group is P4/mbm, No. 127.



Record 4
A plane-wave DFT calculation with PBE was carried out for a relaxed structure of LaOs2Ru.

Cell: 4.8488 4.8488 4.8488 Å, 127.21 127.21 77.92°
Fractional coordinates of all 4 atoms:
Os 0.0000 0.0000 0.0000
Os 0.2500 0.7500 0.5000
Ru 0.5000 0.5000 0.0000
La 0.7500 0.2500 0.5000

Values from the calculation:
Its energy of formation from the pure elements is 0.65 eV/atom. The calculation puts the polymorph energy (0 for the lowest one) at 0.322 eV/atom. The space group is I-4m2, No. 119.



Record 5
A plane-wave DFT calculation with PBE was carried out for a relaxed structure of MgMn2Cr.

Cell: 2.6142 2.6142 8.1536 Å, 90.00 90.00 105.90°
Last column: magnetic moment on the atom in μB.
Fractional coordinates of all 4 atoms:
Mn 0.0000 0.0000 0.0308  2.38
Mg 0.5000 0.5000 0.7506  -0.02
Cr 0.0000 0.0000 0.4682  0.46
Mn 0.5000 0.5000 0.2504  -1.60

Values from the calculation:
Its energy of formation from the pure elements is 0.33 eV/atom. The space group is Cmm2, No. 35.



Record 6
A plane-wave DFT calculation with PBE was carried out for a relaxed structure of NdSm6Pb.

Cell: 4.9899 4.9899 10.3677 Å, 90.00 90.00 90.00°
Fractional coordinates of all 8 atoms:
Sm 0.0000 0.5000 0.7573
Sm 0.0000 0.5000 0.2427
Pb 0.0000 0.0000 0.0000
Sm 0.5000 0.5000 0.5000
Sm 0.5000 0.0000 0.2427
Sm 0.5000 0.0000 0.7573
Nd 0.0000 0.0000 0.5000
Sm 0.5000 0.5000 0.0000

Values from the calculation:
Its energy of formation from the pure elements is -0.13 eV/atom. The space group is P4/mmm, No. 123.



Record 7
A plane-wave DFT calculation with PBE was carried out for a relaxed structure of Pm2Tl5F12.

Cell: 7.5173 8.2157 8.2157 Å, 58.77 62.23 62.23°
Fractional coordinates of all 19 atoms:
F 0.1559 0.2987 0.9039
F 0.8441 0.7013 0.0961
F 0.1559 0.9039 0.2987
F 0.1669 0.5064 0.5064
Pm 0.0000 0.2470 0.7530
Pm 0.0000 0.7530 0.2470
F 0.8331 0.4936 0.4936
F 0.7386 0.8669 0.5027
F 0.8441 0.0961 0.7013
F 0.2041 0.9181 0.9181
Tl 0.9949 0.7242 0.7242
Tl 0.4570 0.6981 0.6981
F 0.2614 0.1331 0.4973
Tl 0.5430 0.3019 0.3019
F 0.2614 0.4973 0.1331
Tl 0.5000 0.0000 0.0000
F 0.7959 0.0819 0.0819
F 0.7386 0.5027 0.8669
Tl 0.0051 0.2758 0.2758

Values from the calculation:
The formation energy without anion corrections comes out at -2.710 eV per atom. The space group is C2/m, No. 12.



Record 8
A plane-wave DFT calculation with PBE was carried out for a relaxed structure of AcCd3Ir.

Cell: 4.8608 4.8758 6.1900 Å, 113.19 90.00 90.00°
Fractional coordinates of all 5 atoms:
Ac 0.5000 0.0418 0.0837
Cd 0.0000 0.5220 0.0439
Cd 0.5000 0.7517 0.5034
Cd 0.0000 0.2609 0.5218
Ir 0.5000 0.3837 0.7674

Values from the calculation:
Its energy of formation from the pure elements is -0.14 eV/atom. The calculation puts the polymorph energy (0 for the lowest one) at 0.152 eV/atom. The space group is Amm2, No. 38.



Record 9
A plane-wave DFT calculation with PBE was carried out for a relaxed structure of NbPt2O2.

Cell: 5.4694 5.4694 4.5688 Å, 90.00 90.00 90.00°
Fractional coordinates of all 10 atoms:
O 0.6799 0.8201 0.0000
O 0.1799 0.6799 0.0000
Pt 0.8133 0.3133 0.5000
Pt 0.3133 0.1867 0.5000
O 0.3201 0.1799 0.0000
Nb 0.0000 0.0000 0.0000
Pt 0.6867 0.8133 0.5000
Pt 0.1867 0.6867 0.5000
Nb 0.5000 0.5000 0.0000
O 0.8201 0.3201 0.0000

Values from the calculation:
The formation energy without anion corrections comes out at -0.984 eV per atom. The calculation puts the polymorph energy (0 for the lowest one) at 0.000 eV/atom. The space group is P4/mbm, No. 127.



Record 10
A plane-wave DFT calculation with PBE was carried out for a relaxed structure of Al2ZnNiSe.

Cell: 5.0892 4.3096 5.0892 Å, 90.00 90.00 90.00°
Fractional coordinates of all 5 atoms:
Al 0.5000 0.0000 0.0000
Al 0.0000 0.0000 0.5000
Se 0.0000 0.0000 0.0000
Zn 0.5000 0.5000 0.5000
Ni 0.0000 0.5000 0.0000

Values from the calculation:
The formation energy without anion corrections comes out at 0.569 eV per atom. The space group is P4/mmm, No. 123.



Record 11
A plane-wave DFT calculation with PBE was carried out for a relaxed structure of AcPmIrSe.

Cell: 4.2001 4.2004 7.9584 Å, 90.00 105.30 120.00°
Fractional coordinates of all 4 atoms:
Ir 0.3110 0.5534 0.8798
Ac 0.4907 0.1432 0.6492
Se 0.9582 0.3772 0.3503
Pm 0.1180 0.9570 0.0904

Values from the calculation:
The formation energy without anion corrections comes out at -1.157 eV per atom. The space group is R3m, No. 160.



Record 12
A plane-wave DFT calculation with PBE was carried out for a relaxed structure of Cu3OsO6.

Cell: 6.0179 6.0179 6.0179 Å, 95.57 95.57 95.57°
Last column: magnetic moment on the atom in μB.
Fractional coordinates of all 20 atoms:
O 0.6504 0.7809 0.4357  0.05
O 0.8807 0.7123 0.0794  0.07
O 0.3496 0.2191 0.5643  0.05
Cu 0.7335 0.4165 0.9661  0.24
O 0.0794 0.8807 0.7123  0.07
O 0.7123 0.0794 0.8807  0.07
O 0.2877 0.9206 0.1193  0.07
Cu 0.9661 0.7335 0.4165  0.24
O 0.7809 0.4357 0.6504  0.05
Cu 0.0339 0.2665 0.5835  0.24
Os 0.0000 0.0000 0.0000  -0.18
O 0.4357 0.6504 0.7809  0.05
Cu 0.4165 0.9661 0.7335  0.24
O 0.1193 0.2877 0.9206  0.07
O 0.9206 0.1193 0.2877  0.07
O 0.5643 0.3496 0.2191  0.05
Os 0.5000 0.5000 0.5000  -0.31
O 0.2191 0.5643 0.3496  0.05
Cu 0.5835 0.0339 0.2665  0.24
Cu 0.2665 0.5835 0.0339  0.24

Values from the calculation:
The formation energy without anion corrections comes out at -0.650 eV per atom. The space group is R-3, No. 148.



Here are the calculated D(E_F) numbers, same order: 4.7 0.7 5.3 6.8 4.6 9.5 8.2 2.3 1.6 2.3 3.1 5.1 (states/eV/f.u.).